(1)
# Bi2Te3

A relaxed structure of Bi2Te3 (GGA-PBE, Alexandria).

Cell: 9.8513 7.0258 12.8146 Å, 90.00 126.13 90.00°
Closest atoms and distances in Å follow each position.
Space group P2_1/c (No. 14)
Unique sites:
Bi (0.1565, 0.0516, 0.0056) (multiplicity 4)  2 Te 3.07-3.27, 2 Bi 3.09-3.12
Bi (0.2860, 0.2220, 0.7575) (multiplicity 4)  4 Te 3.05-3.41, 1 Bi 3.12
Te (0.0353, 0.6522, 0.2116) (multiplicity 4)  1 Te 2.90, 1 Bi 3.07
Te (0.3544, 0.6491, 0.8636) (multiplicity 4)  1 Te 2.90, 1 Bi 3.20
Te (0.3573, 0.6511, 0.1339) (multiplicity 4)  3 Bi 3.05-3.34, 1 Te 3.28

(2)
# Bi2Te3

A relaxed structure of Bi2Te3 (GGA-PBE, Alexandria).

Cell: 5.7652 5.7652 12.6549 Å, 90.00 90.00 120.00°
Closest atoms and distances in Å follow each position.
Space group P6_3/mmc (No. 194)
Unique sites:
Bi (0.0000, 0.0000, 0.0000) (multiplicity 2)  8 Te 3.16-3.33
Bi (0.3333, 0.6667, 0.2500) (multiplicity 2)  5 Te 3.12-3.33
Te (0.0000, 0.0000, 0.2500) (multiplicity 2)  5 Bi 3.16-3.33
Te (0.3333, 0.6667, 0.0031) (multiplicity 4)  4 Bi 3.12-3.33, 3 Te 3.33

(3)
# Bi2Te3

A relaxed structure of Bi2Te3 (GGA-PBE, Alexandria).

Cell: 14.6403 12.0455 8.3887 Å, 90.00 100.93 90.00°
Closest atoms and distances in Å follow each position.
Space group C2/c (No. 15)
Unique sites:
Bi (0.0000, 0.0340, 0.2500) (multiplicity 4)  6 Te 3.07-3.35
Bi (0.0000, 0.4069, 0.2500) (multiplicity 4)  4 Te 2.98-3.25
Bi (0.2486, 0.1807, 0.6540) (multiplicity 8)  2 Te 3.00-3.04, 1 Bi 3.08
Te (0.0418, 0.1915, 0.5422) (multiplicity 8)  3 Bi 3.00-3.35
Te (0.1257, 0.4417, 0.9727) (multiplicity 8)  2 Bi 2.98-3.25, 1 Te 3.00
Te (0.1983, 0.1109, 0.1448) (multiplicity 8)  1 Te 3.00, 2 Bi 3.04-3.32

(4)
# Bi2Te3

A relaxed structure of Bi2Te3 (GGA-PBE, Alexandria).

Cell: 7.6712 4.4276 11.1641 Å, 90.00 103.17 90.00°
Closest atoms and distances in Å follow each position.
Space group Cm (No. 8)
Unique sites:
Bi (0.0000, 0.0000, 0.0000) (multiplicity 2)  6 Te 3.08-3.30
Bi (0.1279, 0.0000, 0.3855) (multiplicity 2)  6 Te 3.08-3.31
Te (0.1141, 0.5000, 0.8412) (multiplicity 2)  3 Bi 3.08-3.09
Te (0.3472, 0.5000, 0.5441) (multiplicity 2)  3 Bi 3.08
Te (0.3971, 0.0000, 0.1924) (multiplicity 2)  6 Bi 3.30-3.31

(5)
# Bi2Te3

A relaxed structure of Bi2Te3 (GGA-PBE, Alexandria).

Cell: 4.4200 4.4204 11.9896 Å, 89.04 89.56 60.00°
Closest atoms and distances in Å follow each position.
Space group P1 (No. 1)
Unique sites:
Bi (0.0000, 0.0000, 0.0000) (multiplicity 1)  6 Te 3.08-3.30
Bi (0.0009, 0.9843, 0.3498) (multiplicity 1)  6 Te 3.08-3.30
Te (0.3338, 0.3254, 0.1749) (multiplicity 1)  6 Bi 3.30
Te (0.6661, 0.6734, 0.8562) (multiplicity 1)  3 Bi 3.08
Te (0.6678, 0.6441, 0.4936) (multiplicity 1)  3 Bi 3.08

(6)
# Bi2Te3

A relaxed structure of Bi2Te3 (GGA-PBE, Alexandria).

Cell: 5.9060 5.9060 23.8884 Å, 90.00 90.00 90.00°
Closest atoms and distances in Å follow each position.
Space group I-4m2 (No. 119)
Unique sites:
Bi (0.0000, 0.0000, 0.0000) (multiplicity 2)  4 Te 3.12
Bi (0.0000, 0.0000, 0.4003) (multiplicity 4)  6 Te 3.26-3.43
Bi (0.0000, 0.5000, 0.7500) (multiplicity 2)  4 Te 3.09
Te (0.0000, 0.2469, 0.8633) (multiplicity 8)  2 Te 2.92-2.99, 1 Bi 3.09
Te (0.0000, 0.5000, 0.0423) (multiplicity 4)  4 Bi 3.12-3.26

(7)
# Bi2Te3

A relaxed structure of Bi2Te3 (GGA-PBE, Alexandria).

Cell: 4.4690 4.4690 29.6219 Å, 90.00 90.00 120.00°
Closest atoms and distances in Å follow each position.
Space group R-3m (No. 166, hexagonal axes)
Unique sites:
Bi (0.0000, 0.0000, 0.2052) (multiplicity 6)  3 Te 3.13, 3 Bi 3.45
Te (0.0000, 0.0000, 0.0000) (multiplicity 3)  6 Te 3.28
Te (0.0000, 0.0000, 0.4017) (multiplicity 6)  3 Bi 3.13, 3 Te 3.28

(8)
# Bi2Te3

A relaxed structure of Bi2Te3 (GGA-PBE, Alexandria).

Cell: 6.2433 6.1324 11.2471 Å, 90.00 90.00 90.00°
Closest atoms and distances in Å follow each position.
Space group Amm2 (No. 38)
Unique sites:
Bi (0.0000, 0.0000, 0.0000) (multiplicity 2)  1 Te 2.87, 2 Bi 3.12
Bi (0.5000, 0.0000, 0.0129) (multiplicity 2)  2 Bi 3.12, 4 Te 3.18-3.23
Te (0.0000, 0.0000, 0.2551) (multiplicity 2)  1 Bi 2.87
Te (0.5000, 0.2474, 0.7645) (multiplicity 4)  2 Te 3.03-3.10, 2 Bi 3.18-3.23

Uncorrected formation energy / eV/atom: 0.013; 0.034; 0.005; -0.229; -0.225; 0.153; 0.012; 0.230